1.
The following is a DFT calculation (PBE-GGA) of a geometry-optimized RbPPd3 structure.

Unit cell a=6.323 b=6.485 c=13.331 alpha=90.00 beta=88.66 gamma=90.00
Fractional coordinates of all 20 atoms:
Rb1 0.286 0.877 0.375
Rb2 0.714 0.877 0.125
Rb3 0.286 0.123 0.875
Rb4 0.714 0.123 0.625
P1 0.094 0.380 0.119
P2 0.094 0.620 0.619
P3 0.906 0.380 0.381
P4 0.906 0.620 0.881
Pd1 0.552 0.392 0.404
Pd2 0.552 0.608 0.904
Pd3 0.212 0.622 0.781
Pd4 0.171 0.630 0.994
Pd5 0.212 0.378 0.281
Pd6 0.448 0.608 0.596
Pd7 0.829 0.630 0.506
Pd8 0.788 0.622 0.719
Pd9 0.829 0.370 0.006
Pd10 0.788 0.378 0.219
Pd11 0.448 0.392 0.096
Pd12 0.171 0.370 0.494

Calculated values
Its energy relative to the elements is -255 meV per atom. The calculation puts the polymorph energy (0 for the lowest one) at 39 meV per atom. Its symmetry is P2/c, No. 13.

2.
The following is a DFT calculation (PBE-GGA) of a geometry-optimized InGe3Cl structure.

Unit cell a=5.376 b=5.376 c=5.376 alpha=90.00 beta=90.00 gamma=90.00
Fractional coordinates of all 5 atoms:
Ge1 0.000 0.500 0.000
Ge2 0.000 0.000 0.500
Ge3 0.500 0.000 0.000
Cl1 0.500 0.500 0.500
In1 0.000 0.000 0.000

Calculated values
The calculation puts the polymorph energy (0 for the lowest one) at 122 meV per atom. Its symmetry is Pm-3m, No. 221. The energy relative to the elements, uncorrected is 0.77 eV per atom.

3.
The following is a DFT calculation (PBE-GGA) of a geometry-optimized K2RbCdPb structure.

Unit cell a=6.974 b=6.974 c=5.798 alpha=90.00 beta=90.00 gamma=90.00
Fractional coordinates of all 5 atoms:
Pb1 0.000 0.000 0.000
K1 0.000 0.500 0.000
K2 0.500 0.000 0.000
Rb1 0.500 0.500 0.500
Cd1 0.000 0.000 0.500

Calculated values
Its energy relative to the elements is 23 meV per atom. The calculation puts the polymorph energy (0 for the lowest one) at 0 meV per atom. Its symmetry is P4/mmm, No. 123.